1.
A geometry-optimized BeSe2O structure. Source: Alexandria, functional PBE.

excess energy over the best structure of this formula in the dataset	0	meV/atom
space-group type	R-3m

abc: 6.459 6.459 6.459
angles: 32.84 32.84 32.84
Fractional coordinates of all 4 atoms:
Be 0.000 0.000 0.000
Se 0.397 0.397 0.397
Se 0.603 0.603 0.603
O 0.500 0.500 0.500


2.
A geometry-optimized BeSeO2 structure. Source: Alexandria, functional PBE.

excess energy over the best structure of this formula in the dataset	166	meV/atom
space-group type	I-42d

abc: 5.113 5.113 5.113
angles: 125.69 125.69 80.41
Fractional coordinates of all 8 atoms:
Be 0.000 0.000 0.000
Be 0.750 0.250 0.500
Se 0.250 0.750 0.500
Se 0.500 0.500 0.000
O 0.006 0.625 0.881
O 0.375 0.256 0.381
O 0.744 0.125 0.119
O 0.875 0.994 0.619


3.
A geometry-optimized BeSe2O structure. Source: Alexandria, functional PBE.

excess energy over the best structure of this formula in the dataset	722	meV/atom
space-group type	R-3m

abc: 7.793 7.793 7.793
angles: 23.13 23.13 23.13
Fractional coordinates of all 4 atoms:
Be 0.000 0.000 0.000
Se 0.093 0.093 0.093
Se 0.907 0.907 0.907
O 0.500 0.500 0.500


4.
A geometry-optimized Be2SeO structure. Source: Alexandria, functional PBE.

excess energy over the best structure of this formula in the dataset	1616	meV/atom
space-group type	Fm-3m

abc: 3.972 3.972 3.972
angles: 60.00 60.00 60.00
Fractional coordinates of all 4 atoms:
Be 0.250 0.250 0.250
Be 0.750 0.750 0.750
Se 0.000 0.000 0.000
O 0.500 0.500 0.500


5.
A geometry-optimized BeSe2O structure. Source: Alexandria, functional PBE.

excess energy over the best structure of this formula in the dataset	147	meV/atom
space-group type	I-42d

abc: 6.787 6.787 6.787
angles: 137.93 137.93 61.01
Fractional coordinates of all 8 atoms:
Be 0.000 0.000 0.000
Be 0.750 0.250 0.500
Se 0.129 0.625 0.004
Se 0.375 0.379 0.504
Se 0.621 0.125 0.996
Se 0.875 0.871 0.496
O 0.250 0.750 0.500
O 0.500 0.500 0.000


6.
A geometry-optimized BeSeO2 structure. Source: Alexandria, functional PBE.

excess energy over the best structure of this formula in the dataset	0	meV/atom
space-group type	R-3m

abc: 5.911 5.911 5.911
angles: 27.19 27.19 27.19
Fractional coordinates of all 4 atoms:
Be 0.000 0.000 0.000
Se 0.500 0.500 0.500
O 0.388 0.388 0.388
O 0.612 0.612 0.612


no.,raw formation energy (eV per atom),M_tot (μB per formula unit)
1,-0.0683,0.0
2,-0.9963,0.0
3,0.6541,0.0
4,0.1442,0.0
5,0.0789,0.0
6,-1.1624,0.0